No. 1
## Zr3Sc3FeBi2 (PBE)

Data for crystalline Zr3Sc3FeBi2 at its relaxed geometry.

Output
M_tot in μB per cell: 0.8
Energy above the most stable polymorph in this dataset in meV/atom: 55

CIF file:
```
data_Zr3Sc3FeBi2
_chemical_formula_sum 'Zr3 Sc3 Fe1 Bi2'
_cell_length_a 7.8126
_cell_length_b 7.8126
_cell_length_c 3.7811
_cell_angle_alpha 90.00
_cell_angle_beta 90.00
_cell_angle_gamma 120.00
_symmetry_space_group_name_H-M 'P -6 2 m'
_symmetry_Int_Tables_number 189
_symmetry_space_group_name_Hall 'P -6 -2'
loop_
_atom_site_label
_atom_site_type_symbol
_atom_site_fract_x
_atom_site_fract_y
_atom_site_fract_z
Zr1 Zr 0.0000 0.3812 0.0000
Sc1 Sc 0.0000 0.7667 0.5000
Fe1 Fe 0.0000 0.0000 0.0000
Bi1 Bi 0.3333 0.6667 0.5000
```

***

No. 2
## ThSiW (PBE)

Data for crystalline ThSiW at its relaxed geometry.

Output
M_tot in μB per cell: 0.0
Total DFT energy (no corrections) in Ha/atom: -0.3162

CIF file:
```
data_ThSiW
_chemical_formula_sum 'Th4 Si4 W4'
_cell_length_a 3.6304
_cell_length_b 11.2082
_cell_length_c 6.1945
_cell_angle_alpha 90.00
_cell_angle_beta 90.00
_cell_angle_gamma 90.00
_symmetry_space_group_name_H-M 'C m c 21'
_symmetry_Int_Tables_number 36
loop_
_symmetry_equiv_pos_as_xyz
'x,y,z'
'-x,-y,z+1/2'
'-x,y,z'
'x,-y,z+1/2'
'x+1/2,y+1/2,z'
'-x+1/2,-y+1/2,z+1/2'
'-x+1/2,y+1/2,z'
'x+1/2,-y+1/2,z+1/2'
loop_
_atom_site_label
_atom_site_type_symbol
_atom_site_fract_x
_atom_site_fract_y
_atom_site_fract_z
Th1 Th 0.0000 0.2103 0.0000
Si1 Si 0.0000 0.4590 0.2359
W1 W 0.0000 0.0600 0.4538
```

***

No. 3
## ZrH4 (PBE)

Data for crystalline ZrH4 at its relaxed geometry.

Output
M_tot in μB per cell: 0.0
Energy above the most stable polymorph in this dataset in meV/atom: 61

CIF file:
```
data_ZrH4
_chemical_formula_sum 'Zr4 H16'
_cell_length_a 6.7097
_cell_length_b 3.7595
_cell_length_c 5.3455
_cell_angle_alpha 90.00
_cell_angle_beta 90.00
_cell_angle_gamma 90.00
_symmetry_space_group_name_H-M 'P n m a'
_symmetry_Int_Tables_number 62
loop_
_symmetry_equiv_pos_as_xyz
'x,y,z'
'-x,-y,-z'
'-x+1/2,-y,z+1/2'
'x+1/2,y,-z+1/2'
'x+1/2,-y+1/2,-z+1/2'
'-x+1/2,y+1/2,z+1/2'
'-x,y+1/2,-z'
'x,-y+1/2,z'
loop_
_atom_site_label
_atom_site_type_symbol
_atom_site_fract_x
_atom_site_fract_y
_atom_site_fract_z
Zr1 Zr 0.1886 0.2500 0.1542
H1 H 0.0723 0.0048 0.8266
H2 H 0.1340 0.7500 0.3666
H3 H 0.2052 0.2500 0.5296
```

***

No. 4
## LaSmCd2Sn2 (PBE)

Data for crystalline LaSmCd2Sn2 at its relaxed geometry.

Output
M_tot in μB per cell: 0.0
Energy above the most stable polymorph in this dataset in meV/atom: 0

CIF file:
```
data_LaSmCd2Sn2
_chemical_formula_sum 'La2 Sm2 Cd4 Sn4'
_cell_length_a 4.8095
_cell_length_b 4.8095
_cell_length_c 16.3825
_cell_angle_alpha 90.00
_cell_angle_beta 90.00
_cell_angle_gamma 120.00
_symmetry_space_group_name_H-M 'P 63/m m c'
_symmetry_Int_Tables_number 194
_symmetry_space_group_name_Hall '-P 6c 2c'
loop_
_atom_site_label
_atom_site_type_symbol
_atom_site_fract_x
_atom_site_fract_y
_atom_site_fract_z
La1 La 0.0000 0.0000 0.0000
Sm1 Sm 0.0000 0.0000 0.2500
Cd1 Cd 0.3333 0.6667 0.1560
Sn1 Sn 0.3333 0.6667 0.6113
```